#w
First-principles (GGA-PBE) data for a relaxed structure of Zn2Cd3Ag7, as listed in Alexandria via LeMat-Bulk.

The value obtained for the calculated volume is 19.6 Å³ per atom. The density of states at the Fermi level comes out at 3.53 states/eV per cell.

abc: 5.195 4.681 9.696
angles: 90.00 92.88 90.00
Fractional coordinates of all 12 atoms:
Zn1 0.121 0.000 0.286
Zn2 0.879 0.000 0.714
Cd1 0.000 0.000 0.000
Cd2 0.432 0.500 0.345
Cd3 0.568 0.500 0.655
Ag1 0.063 0.500 0.814
Ag2 0.260 0.000 0.551
Ag3 0.433 0.000 0.837
Ag4 0.500 0.500 0.000
Ag5 0.567 0.000 0.163
Ag6 0.740 0.000 0.449
Ag7 0.937 0.500 0.186

=====

#x
First-principles (GGA-PBE) data for a relaxed structure of Zn2Cd3Ag7, as listed in Alexandria via LeMat-Bulk.

The value obtained for the calculated volume is 19.8 Å³ per atom. The density of states at the Fermi level comes out at 3.12 states/eV per cell.

abc: 9.415 9.415 9.415
angles: 34.38 34.38 34.38
Fractional coordinates of all 12 atoms:
Zn1 0.167 0.167 0.167
Zn2 0.833 0.833 0.833
Cd1 0.353 0.353 0.353
Cd2 0.500 0.500 0.500
Cd3 0.647 0.647 0.647
Ag1 0.000 0.000 0.000
Ag2 0.083 0.083 0.579
Ag3 0.083 0.579 0.083
Ag4 0.421 0.917 0.917
Ag5 0.579 0.083 0.083
Ag6 0.917 0.421 0.917
Ag7 0.917 0.917 0.421

=====

Here are the energies relative to the best structure, in meV per atom: #w 9; #x 0.

=====

#w
First-principles (GGA-PBE) data for a relaxed structure of Zn2CdAg5, as listed in Alexandria via LeMat-Bulk.

The value obtained for the calculated volume is 17.4 Å³ per atom. The density of states at the Fermi level comes out at 3.24 states/eV per cell.

abc: 5.724 5.724 8.594
angles: 90.00 90.00 98.36
Fractional coordinates of all 16 atoms:
Zn1 0.000 0.000 0.249
Zn2 0.000 0.000 0.751
Zn3 0.273 0.727 0.500
Zn4 0.727 0.273 0.500
Cd1 0.268 0.732 0.000
Cd2 0.732 0.268 0.000
Ag1 0.000 0.500 0.264
Ag2 0.000 0.500 0.736
Ag3 0.217 0.217 0.500
Ag4 0.226 0.226 0.000
Ag5 0.500 0.000 0.264
Ag6 0.500 0.000 0.736
Ag7 0.500 0.500 0.259
Ag8 0.500 0.500 0.741
Ag9 0.774 0.774 0.000
Ag10 0.783 0.783 0.500

=====

#x
First-principles (GGA-PBE) data for a relaxed structure of Zn2CdAg5, as listed in Alexandria via LeMat-Bulk.

The value obtained for the calculated volume is 17.7 Å³ per atom. The density of states at the Fermi level comes out at 4.14 states/eV per cell.

abc: 2.949 8.689 11.035
angles: 90.00 90.00 90.00
Fractional coordinates of all 16 atoms:
Zn1 0.000 0.000 0.243
Zn2 0.000 0.000 0.757
Zn3 0.500 0.500 0.257
Zn4 0.500 0.500 0.743
Cd1 0.000 0.500 0.000
Cd2 0.500 0.000 0.500
Ag1 0.000 0.000 0.000
Ag2 0.000 0.262 0.368
Ag3 0.000 0.262 0.632
Ag4 0.000 0.738 0.368
Ag5 0.000 0.738 0.632
Ag6 0.500 0.238 0.132
Ag7 0.500 0.238 0.868
Ag8 0.500 0.500 0.500
Ag9 0.500 0.762 0.132
Ag10 0.500 0.762 0.868

=====

Here are the energies relative to the best structure, in meV per atom: #w 0; #x 8.

=====

#w
First-principles (GGA-PBE) data for a relaxed structure of Zn3Cd2Ag8, as listed in Alexandria via LeMat-Bulk.

The value obtained for the calculated volume is 18.1 Å³ per atom. The density of states at the Fermi level comes out at 2.57 states/eV per cell.

abc: 9.392 2.923 9.669
angles: 90.00 117.48 90.00
Fractional coordinates of all 13 atoms:
Zn1 0.000 0.000 0.000
Zn2 0.072 0.500 0.780
Zn3 0.928 0.500 0.220
Cd1 0.466 0.000 0.633
Cd2 0.534 0.000 0.367
Ag1 0.166 0.500 0.552
Ag2 0.204 0.000 0.308
Ag3 0.298 0.500 0.092
Ag4 0.352 0.000 0.859
Ag5 0.648 0.000 0.141
Ag6 0.702 0.500 0.908
Ag7 0.796 0.000 0.692
Ag8 0.834 0.500 0.448

=====

#x
First-principles (GGA-PBE) data for a relaxed structure of Zn3Cd2Ag8, as listed in Alexandria via LeMat-Bulk.

The value obtained for the calculated volume is 19.2 Å³ per atom. The density of states at the Fermi level comes out at 5.15 states/eV per cell.

abc: 7.151 7.151 5.595
angles: 99.25 99.25 62.42
Fractional coordinates of all 13 atoms:
Zn1 0.000 0.000 0.000
Zn2 0.175 0.825 0.500
Zn3 0.825 0.175 0.500
Cd1 0.202 0.202 0.742
Cd2 0.798 0.798 0.258
Ag1 0.202 0.577 0.067
Ag2 0.208 0.208 0.252
Ag3 0.410 0.410 0.613
Ag4 0.423 0.798 0.933
Ag5 0.577 0.202 0.067
Ag6 0.590 0.590 0.387
Ag7 0.792 0.792 0.748
Ag8 0.798 0.423 0.933

=====

Here are the energies relative to the best structure, in meV per atom: #w 0; #x 60.

=====

#w
First-principles (GGA-PBE) data for a relaxed structure of Zn5CdAg2, as listed in Alexandria via LeMat-Bulk.

The value obtained for the calculated volume is 18.3 Å³ per atom. The density of states at the Fermi level comes out at 4.85 states/eV per cell.

abc: 4.028 8.112 8.984
angles: 90.00 90.00 90.00
Fractional coordinates of all 16 atoms:
Zn1 0.000 0.000 0.000
Zn2 0.000 0.322 0.349
Zn3 0.000 0.322 0.651
Zn4 0.000 0.678 0.349
Zn5 0.000 0.678 0.651
Zn6 0.500 0.178 0.151
Zn7 0.500 0.178 0.849
Zn8 0.500 0.500 0.500
Zn9 0.500 0.822 0.151
Zn10 0.500 0.822 0.849
Cd1 0.000 0.500 0.000
Cd2 0.500 0.000 0.500
Ag1 0.000 0.000 0.288
Ag2 0.000 0.000 0.712
Ag3 0.500 0.500 0.212
Ag4 0.500 0.500 0.788

=====

#x
First-principles (GGA-PBE) data for a relaxed structure of Zn5CdAg2, as listed in Alexandria via LeMat-Bulk.

The value obtained for the calculated volume is 16.6 Å³ per atom. The density of states at the Fermi level comes out at 2.57 states/eV per cell.

abc: 6.690 6.690 5.920
angles: 90.00 90.00 90.00
Fractional coordinates of all 16 atoms:
Zn1 0.000 0.000 0.000
Zn2 0.250 0.250 0.250
Zn3 0.250 0.250 0.750
Zn4 0.250 0.750 0.250
Zn5 0.250 0.750 0.750
Zn6 0.500 0.500 0.500
Zn7 0.750 0.250 0.250
Zn8 0.750 0.250 0.750
Zn9 0.750 0.750 0.250
Zn10 0.750 0.750 0.750
Cd1 0.000 0.000 0.501
Cd2 0.500 0.500 0.001
Ag1 0.000 0.500 0.000
Ag2 0.000 0.500 0.500
Ag3 0.500 0.000 0.000
Ag4 0.500 0.000 0.500

=====

Here are the energies relative to the best structure, in meV per atom: #w 51; #x 0.

=====

#w
First-principles (GGA-PBE) data for a relaxed structure of Zn4Cd2Ag3, as listed in Alexandria via LeMat-Bulk.

The value obtained for the calculated volume is 20.1 Å³ per atom. The density of states at the Fermi level comes out at 6.80 states/eV per cell.

abc: 9.660 9.660 5.189
angles: 105.47 105.47 118.66
Fractional coordinates of all 18 atoms:
Zn1 0.225 0.772 0.501
Zn2 0.228 0.775 0.999
Zn3 0.339 0.339 0.342
Zn4 0.339 0.339 0.842
Zn5 0.661 0.661 0.158
Zn6 0.661 0.661 0.658
Zn7 0.772 0.225 0.001
Zn8 0.775 0.228 0.499
Cd1 0.140 0.451 0.548
Cd2 0.451 0.140 0.048
Cd3 0.549 0.860 0.952
Cd4 0.860 0.549 0.452
Ag1 0.053 0.274 0.917
Ag2 0.274 0.053 0.417
Ag3 0.372 0.628 0.250
Ag4 0.628 0.372 0.750
Ag5 0.726 0.947 0.583
Ag6 0.947 0.726 0.083

=====

#x
First-principles (GGA-PBE) data for a relaxed structure of Zn4Cd2Ag3, as listed in Alexandria via LeMat-Bulk.

The value obtained for the calculated volume is 17.7 Å³ per atom. The density of states at the Fermi level comes out at 2.15 states/eV per cell.

abc: 2.939 2.939 21.336
angles: 90.00 90.00 120.00
Fractional coordinates of all 9 atoms:
Zn1 0.000 0.000 0.000
Zn2 0.000 0.000 0.208
Zn3 0.667 0.333 0.690
Zn4 0.667 0.333 0.899
Cd1 0.667 0.333 0.323
Cd2 0.667 0.333 0.561
Ag1 0.000 0.000 0.442
Ag2 0.000 0.000 0.795
Ag3 0.667 0.333 0.104

=====

Here are the energies relative to the best structure, in meV per atom: #w 62; #x 0.

=====

#w
First-principles (GGA-PBE) data for a relaxed structure of ZnCd3Ag6, as listed in Alexandria via LeMat-Bulk.

The value obtained for the calculated volume is 18.4 Å³ per atom. The density of states at the Fermi level comes out at 3.91 states/eV per cell.

abc: 9.147 4.293 9.403
angles: 90.00 92.68 90.00
Fractional coordinates of all 20 atoms:
Zn1 0.052 0.250 0.393
Zn2 0.948 0.750 0.607
Cd1 0.244 0.250 0.999
Cd2 0.348 0.750 0.796
Cd3 0.452 0.250 0.600
Cd4 0.548 0.750 0.400
Cd5 0.652 0.250 0.204
Cd6 0.756 0.750 0.001
Ag1 0.049 0.750 0.892
Ag2 0.137 0.250 0.684
Ag3 0.147 0.750 0.197
Ag4 0.231 0.750 0.495
Ag5 0.340 0.250 0.302
Ag6 0.448 0.750 0.100
Ag7 0.552 0.250 0.900
Ag8 0.660 0.750 0.698
Ag9 0.769 0.250 0.505
Ag10 0.853 0.250 0.803
Ag11 0.863 0.750 0.316
Ag12 0.951 0.250 0.108

=====

#x
First-principles (GGA-PBE) data for a relaxed structure of ZnCd3Ag6, as listed in Alexandria via LeMat-Bulk.

The value obtained for the calculated volume is 19.7 Å³ per atom. The density of states at the Fermi level comes out at 2.28 states/eV per cell.

abc: 5.684 5.684 7.591
angles: 106.78 106.78 58.48
Fractional coordinates of all 10 atoms:
Zn1 0.000 0.000 0.000
Cd1 0.386 0.386 0.806
Cd2 0.500 0.500 0.500
Cd3 0.614 0.614 0.194
Ag1 0.103 0.606 0.181
Ag2 0.168 0.168 0.398
Ag3 0.394 0.897 0.819
Ag4 0.606 0.103 0.181
Ag5 0.832 0.832 0.602
Ag6 0.897 0.394 0.819

=====

Here are the energies relative to the best structure, in meV per atom: #w 0; #x 109.

=====

#w
First-principles (GGA-PBE) data for a relaxed structure of Zn2Cd3Ag3, as listed in Alexandria via LeMat-Bulk.

The value obtained for the calculated volume is 18.6 Å³ per atom. The density of states at the Fermi level comes out at 1.08 states/eV per cell.

abc: 7.607 7.607 2.966
angles: 90.00 90.00 120.00
Fractional coordinates of all 8 atoms:
Zn1 0.333 0.667 0.000
Zn2 0.667 0.333 0.000
Cd1 0.000 0.247 0.000
Cd2 0.247 0.000 0.000
Cd3 0.753 0.753 0.000
Ag1 0.000 0.612 0.500
Ag2 0.388 0.388 0.500
Ag3 0.612 0.000 0.500

=====

#x
First-principles (GGA-PBE) data for a relaxed structure of Zn2Cd3Ag3, as listed in Alexandria via LeMat-Bulk.

The value obtained for the calculated volume is 18.4 Å³ per atom. The density of states at the Fermi level comes out at 2.22 states/eV per cell.

abc: 3.599 4.535 9.403
angles: 101.83 100.66 90.10
Fractional coordinates of all 8 atoms:
Zn1 0.248 0.247 0.498
Zn2 0.752 0.753 0.502
Cd1 0.000 0.000 0.000
Cd2 0.128 0.610 0.257
Cd3 0.872 0.390 0.743
Ag1 0.365 0.886 0.731
Ag2 0.500 0.500 0.000
Ag3 0.635 0.114 0.269

=====

Here are the energies relative to the best structure, in meV per atom: #w 0; #x 35.

=====

#w
First-principles (GGA-PBE) data for a relaxed structure of ZnCd4Ag, as listed in Alexandria via LeMat-Bulk.

The value obtained for the calculated volume is 21.7 Å³ per atom. The density of states at the Fermi level comes out at 2.66 states/eV per cell.

abc: 5.690 5.690 5.690
angles: 60.00 60.00 60.00
Fractional coordinates of all 6 atoms:
Zn1 0.000 0.000 0.000
Cd1 0.375 0.375 0.375
Cd2 0.375 0.375 0.875
Cd3 0.375 0.875 0.375
Cd4 0.875 0.375 0.375
Ag1 0.750 0.750 0.750

=====

#x
First-principles (GGA-PBE) data for a relaxed structure of ZnCd4Ag, as listed in Alexandria via LeMat-Bulk.

The value obtained for the calculated volume is 21.4 Å³ per atom. The density of states at the Fermi level comes out at 3.30 states/eV per cell.

abc: 7.438 7.438 5.489
angles: 102.97 102.97 112.27
Fractional coordinates of all 12 atoms:
Zn1 0.113 0.887 0.750
Zn2 0.887 0.113 0.250
Cd1 0.102 0.285 0.838
Cd2 0.195 0.582 0.433
Cd3 0.285 0.102 0.338
Cd4 0.418 0.805 0.067
Cd5 0.582 0.195 0.933
Cd6 0.715 0.898 0.662
Cd7 0.805 0.418 0.567
Cd8 0.898 0.715 0.162
Ag1 0.499 0.501 0.250
Ag2 0.501 0.499 0.750

=====

Here are the energies relative to the best structure, in meV per atom: #w 168; #x 0.

=====

#w
First-principles (GGA-PBE) data for a relaxed structure of ZnCd3Ag7, as listed in Alexandria via LeMat-Bulk.

The value obtained for the calculated volume is 19.4 Å³ per atom. The density of states at the Fermi level comes out at 2.53 states/eV per cell.

abc: 4.881 6.738 6.852
angles: 84.89 76.36 77.24
Fractional coordinates of all 11 atoms:
Zn1 0.000 0.000 0.000
Cd1 0.236 0.253 0.257
Cd2 0.486 0.492 0.509
Cd3 0.763 0.734 0.743
Ag1 0.230 0.941 0.597
Ag2 0.250 0.593 0.921
Ag3 0.499 0.835 0.162
Ag4 0.508 0.167 0.829
Ag5 0.744 0.079 0.405
Ag6 0.761 0.404 0.064
Ag7 0.994 0.669 0.327

=====

#x
First-principles (GGA-PBE) data for a relaxed structure of ZnCd3Ag7, as listed in Alexandria via LeMat-Bulk.

The value obtained for the calculated volume is 20.3 Å³ per atom. The density of states at the Fermi level comes out at 3.71 states/eV per cell.

abc: 6.967 6.967 5.128
angles: 108.23 108.23 89.09
Fractional coordinates of all 11 atoms:
Zn1 0.000 0.000 0.000
Cd1 0.295 0.705 0.500
Cd2 0.500 0.500 0.000
Cd3 0.705 0.295 0.500
Ag1 0.000 0.000 0.500
Ag2 0.085 0.577 0.833
Ag3 0.272 0.272 0.436
Ag4 0.423 0.915 0.167
Ag5 0.577 0.085 0.833
Ag6 0.728 0.728 0.564
Ag7 0.915 0.423 0.167

=====

Here are the energies relative to the best structure, in meV per atom: #w 0; #x 72.

=====

#w
First-principles (GGA-PBE) data for a relaxed structure of ZrZnCdAg, as listed in Alexandria via LeMat-Bulk.

The value obtained for the calculated volume is 19.0 Å³ per atom. The density of states at the Fermi level comes out at 3.21 states/eV per cell.

abc: 3.109 3.109 7.860
angles: 90.00 90.00 90.00
Fractional coordinates of all 4 atoms:
Zr1 0.000 0.000 0.000
Zn1 0.500 0.500 0.240
Cd1 0.500 0.500 0.711
Ag1 0.000 0.000 0.451

=====

#x
First-principles (GGA-PBE) data for a relaxed structure of ZrZnCdAg, as listed in Alexandria via LeMat-Bulk.

The value obtained for the calculated volume is 18.8 Å³ per atom. The density of states at the Fermi level comes out at 7.07 states/eV per cell.

abc: 6.694 6.694 6.694
angles: 90.00 90.00 90.00
Fractional coordinates of all 16 atoms:
Zr1 0.000 0.000 0.000
Zr2 0.000 0.500 0.500
Zr3 0.500 0.000 0.500
Zr4 0.500 0.500 0.000
Zn1 0.250 0.250 0.750
Zn2 0.250 0.750 0.250
Zn3 0.750 0.250 0.250
Zn4 0.750 0.750 0.750
Cd1 0.000 0.000 0.500
Cd2 0.000 0.500 0.000
Cd3 0.500 0.000 0.000
Cd4 0.500 0.500 0.500
Ag1 0.250 0.250 0.250
Ag2 0.250 0.750 0.750
Ag3 0.750 0.250 0.750
Ag4 0.750 0.750 0.250

=====

Here are the energies relative to the best structure, in meV per atom: #w 0; #x 20.